The following is a DFT calculation (GGA-PBE) of a relaxed structure of CsW2C.

Geometry as CIF:
```
data_CsW2C
_chemical_formula_sum 'Cs2 W4 C2'
_cell_length_a 6.506
_cell_length_b 6.506
_cell_length_c 6.506
_cell_angle_alpha 60.00
_cell_angle_beta 60.00
_cell_angle_gamma 60.00
_space_group_name_H-M_alt 'P 1'
_space_group_IT_number 1
loop_
_space_group_symop_operation_xyz
'x,y,z'
loop_
_atom_site_label
_atom_site_type_symbol
_atom_site_fract_x
_atom_site_fract_y
_atom_site_fract_z
_atom_site_occupancy
Cs1 Cs 0.125 0.125 0.125 1
Cs2 Cs 0.875 0.875 0.875 1
W1 W 0.000 0.500 0.500 1
W2 W 0.500 0.000 0.500 1
W3 W 0.500 0.500 0.000 1
W4 W 0.500 0.500 0.500 1
C1 C 0.375 0.375 0.375 1
C2 C 0.625 0.625 0.625 1
```

The value obtained for the magnetization is 0.00 μB/f.u. For the energy relative to the elements, the calculation gives 1603 meV per atom. As for the calculated total energy: -59.1 eV for the cell shown. The value obtained for the density of states at the Fermi level is 0.6459 states/eV/atom. The symmetry is Fd-3m (227).